Below is a relaxed Fe3BrF crystal, with properties calculated at the PBE+U level.

```
Fe3BrF
1.0
-0.974 -4.588 0.389
3.594 -0.509 2.995
-2.878 0.917 3.609
Fe Br F
3 1 1
Direct
0.000 0.500 0.000
0.000 0.000 0.500
0.500 0.000 0.000
0.000 0.000 0.000
0.500 0.500 0.500
```

Results
- DOS(E_F): 0.551 states/eV/atom
- Space-group type: Pm-3m
- Energy relative to the lowest polymorph listed for this composition: 626.3 meV per atom
- Magnetic moment: 9.26 μB per cell